(1)
VASP calculation (PBE-GGA) on a geometry-optimized ZrMn2OsC structure.

Cell and atoms, written as POSCAR:
```
ZrMn2OsC
1.0
3.945 0.000 0.000
0.000 3.945 0.000
0.000 0.000 4.095
Zr Mn Os C
1 2 1 1
direct
0.000 0.000 0.000 Zr
0.000 0.500 0.500 Mn
0.500 0.000 0.500 Mn
0.500 0.500 0.000 Os
0.500 0.500 0.500 C
```

Properties
Calculated formation energy (eV/atom): -0.142

---

(2)
VASP calculation (PBE-GGA) on a geometry-optimized MnPC3 structure.

Cell and atoms, written as POSCAR:
```
MnPC3
1.0
3.798 0.000 0.000
0.000 3.798 0.000
0.000 0.000 3.798
Mn P C
1 1 3
direct
0.000 0.000 0.000 Mn
0.500 0.500 0.500 P
0.000 0.000 0.500 C
0.000 0.500 0.000 C
0.500 0.000 0.000 C
```

Properties
Energy above the most stable polymorph in this dataset (eV per atom): 0.000
Calculated formation energy (eV/atom): 2.154

---

(3)
VASP calculation (PBE-GGA) on a geometry-optimized MnPC structure.

Cell and atoms, written as POSCAR:
```
MnPC
1.0
1.450 0.837 4.339
-1.450 0.837 4.339
0.000 -1.674 4.339
Mn P C
1 1 1
direct
0.000 0.000 0.000 Mn
0.549 0.549 0.549 P
0.417 0.417 0.417 C
```

Properties
Energy above the most stable polymorph in this dataset (eV per atom): 0.105
Calculated formation energy (eV/atom): 0.256

---

(4)
VASP calculation (PBE-GGA) on a geometry-optimized MnPC structure.

Cell and atoms, written as POSCAR:
```
MnPC
1.0
3.545 0.000 0.000
0.000 2.917 0.000
-1.747 0.000 3.430
Mn P C
1 1 1
direct
0.000 0.000 0.000 Mn
0.436 0.500 0.869 P
0.284 0.000 0.568 C
```

Properties
Energy above the most stable polymorph in this dataset (eV per atom): 0.261
Calculated formation energy (eV/atom): 0.413

---

(5)
VASP calculation (PBE-GGA) on a geometry-optimized MnPC structure.

Cell and atoms, written as POSCAR:
```
MnPC
1.0
2.736 0.000 0.000
1.360 3.027 0.000
1.364 0.435 3.927
Mn P C
1 1 1
direct
0.000 0.000 0.000 Mn
0.366 0.812 0.458 P
0.399 0.402 0.801 C
```

Properties
Energy above the most stable polymorph in this dataset (eV per atom): 0.176
Calculated formation energy (eV/atom): 0.328

---

(6)
VASP calculation (PBE-GGA) on a geometry-optimized MnPC structure.

Cell and atoms, written as POSCAR:
```
MnPC
1.0
1.384 0.799 4.144
-1.384 0.799 4.144
0.000 -1.598 4.144
Mn P C
1 1 1
direct
0.000 0.000 0.000 Mn
0.807 0.807 0.807 P
0.561 0.561 0.561 C
```

Properties
Energy above the most stable polymorph in this dataset (eV per atom): 0.250
Calculated formation energy (eV/atom): 0.402